Entry 1:
! ScFeSb2 (SCAN, PBEsol geometry); values from VASP
! - E above lowest polymorph: 97 meV/atom
! - Magnetization: 0.54 μB per atom
! - Electronic total energy: -107.23 eV for the cell shown
! - Formation energy without anion corrections: -0.09 eV per atom
! - Crystal system: cubic
! - Space-group type: Fm-3m
&SYSTEM
  ibrav = 0, nat = 4, ntyp = 3
/
ATOMIC_SPECIES
Sc 44.96 Sc.upf
Sb 121.76 Sb.upf
Fe 55.84 Fe.upf
CELL_PARAMETERS angstrom
4.777 0.000 0.000
2.389 4.137 0.000
2.389 1.379 3.901
ATOMIC_POSITIONS crystal
Sc 0.000 0.000 0.000
Sb 0.250 0.250 0.250
Sb 0.750 0.750 0.750
Fe 0.500 0.500 0.500


Entry 2:
! ScFe2Sb (SCAN, PBEsol geometry); values from VASP
! - Magnetization: 0.95 μB per atom
! - Electronic total energy: -86.08 eV for the cell shown
! - Formation energy without anion corrections: 0.42 eV per atom
! - Crystal system: trigonal
! - Space-group type: R-3m
&SYSTEM
  ibrav = 0, nat = 4, ntyp = 3
/
ATOMIC_SPECIES
Fe 55.84 Fe.upf
Sb 121.76 Sb.upf
Sc 44.96 Sc.upf
CELL_PARAMETERS angstrom
-1.171 0.583 -2.806
-3.064 -0.056 -0.441
-1.799 7.751 0.652
ATOMIC_POSITIONS crystal
Fe 0.247 0.247 0.259
Fe 0.753 0.753 0.741
Sb 0.500 0.500 0.500
Sc 0.000 0.000 0.000


Entry 3:
! ScFeSb2 (SCAN, PBEsol geometry); values from VASP
! - E above lowest polymorph: 0 meV/atom
! - Magnetization: 0.68 μB per atom
! - Electronic total energy: -107.62 eV for the cell shown
! - Formation energy without anion corrections: -0.18 eV per atom
! - Crystal system: tetragonal
! - Space-group type: P4/mmm
&SYSTEM
  ibrav = 0, nat = 4, ntyp = 3
/
ATOMIC_SPECIES
Fe 55.84 Fe.upf
Sb 121.76 Sb.upf
Sc 44.96 Sc.upf
CELL_PARAMETERS angstrom
3.714 0.000 0.000
0.000 4.574 0.000
0.000 0.000 4.574
ATOMIC_POSITIONS crystal
Fe 0.500 0.000 0.000
Sb 0.000 0.000 0.500
Sb 0.000 0.500 0.000
Sc 0.500 0.500 0.500


Entry 4:
! ScFeSb2 (SCAN, PBEsol geometry); values from VASP
! - E above lowest polymorph: 270 meV/atom
! - Magnetization: 0.50 μB per atom
! - Electronic total energy: -213.07 eV for the cell shown
! - Formation energy without anion corrections: 0.09 eV per atom
! - Crystal system: tetragonal
! - Space-group type: I-42d
&SYSTEM
  ibrav = 0, nat = 8, ntyp = 3
/
ATOMIC_SPECIES
Sc 44.96 Sc.upf
Sb 121.76 Sb.upf
Fe 55.84 Fe.upf
CELL_PARAMETERS angstrom
-2.920 -0.092 -3.249
-1.579 -3.776 1.526
-3.740 6.561 6.112
ATOMIC_POSITIONS crystal
Sc 0.750 0.250 0.500
Sc 0.500 0.500 0.000
Sb 0.348 0.875 0.250
Sb 0.902 0.375 0.250
Sb 0.125 0.098 0.750
Sb 0.625 0.652 0.750
Fe 0.250 0.750 0.500
Fe 0.000 0.000 0.000


Entry 5:
! ScFe2Sb (SCAN, PBEsol geometry); values from VASP
! - Magnetization: 0.00 μB per atom
! - Electronic total energy: -87.93 eV for the cell shown
! - Formation energy without anion corrections: -0.04 eV per atom
! - Crystal system: tetragonal
! - Space-group type: P4/mmm
&SYSTEM
  ibrav = 0, nat = 4, ntyp = 3
/
ATOMIC_SPECIES
Fe 55.84 Fe.upf
Sb 121.76 Sb.upf
Sc 44.96 Sc.upf
CELL_PARAMETERS angstrom
-1.046 -2.977 -0.061
3.563 -1.213 -1.922
1.789 -0.706 3.763
ATOMIC_POSITIONS crystal
Fe 0.000 0.000 0.500
Fe 0.000 0.500 0.000
Sb 0.500 0.500 0.500
Sc 0.500 0.000 0.000


Entry 6:
! ScFeSb2Te (SCAN, PBEsol geometry); values from VASP
! - E above lowest polymorph: 383 meV/atom
! - Magnetization: 0.70 μB per atom
! - Electronic total energy: -141.00 eV for the cell shown
! - Formation energy without anion corrections: 0.63 eV per atom
! - Crystal system: tetragonal
! - Space-group type: P4/mmm
&SYSTEM
  ibrav = 0, nat = 5, ntyp = 4
/
ATOMIC_SPECIES
Sc 44.96 Sc.upf
Sb 121.76 Sb.upf
Te 127.60 Te.upf
Fe 55.84 Fe.upf
CELL_PARAMETERS angstrom
-2.667 3.565 -3.004
-4.078 -3.461 -0.487
-2.235 2.017 4.379
ATOMIC_POSITIONS crystal
Sc 0.000 0.000 0.000
Sb 0.000 0.500 0.000
Sb 0.500 0.000 0.000
Te 0.000 0.000 0.500
Fe 0.500 0.500 0.500


Entry 7:
! ScFeSb2Te (SCAN, PBEsol geometry); values from VASP
! - E above lowest polymorph: 0 meV/atom
! - Magnetization: 0.26 μB per atom
! - Electronic total energy: -142.91 eV for the cell shown
! - Formation energy without anion corrections: 0.25 eV per atom
! - Crystal system: tetragonal
! - Space-group type: P4/mmm
&SYSTEM
  ibrav = 0, nat = 5, ntyp = 4
/
ATOMIC_SPECIES
Sc 44.96 Sc.upf
Sb 121.76 Sb.upf
Te 127.60 Te.upf
Fe 55.84 Fe.upf
CELL_PARAMETERS angstrom
-2.870 -0.243 -3.718
3.482 -1.845 -2.567
-1.558 -5.073 1.534
ATOMIC_POSITIONS crystal
Sc 0.500 0.500 0.500
Sb 0.000 0.500 0.000
Sb 0.500 0.000 0.000
Te 0.000 0.000 0.500
Fe 0.000 0.000 0.000


Entry 8:
! FeSb2Se (SCAN, PBEsol geometry); values from VASP
! - Magnetization: 0.60 μB per atom
! - Electronic total energy: -111.88 eV for the cell shown
! - Formation energy without anion corrections: 0.21 eV per atom
! - Crystal system: orthorhombic
! - Space-group type: Imm2
&SYSTEM
  ibrav = 0, nat = 4, ntyp = 3
/
ATOMIC_SPECIES
Fe 55.84 Fe.upf
Sb 121.76 Sb.upf
Se 78.96 Se.upf
CELL_PARAMETERS angstrom
3.120 0.000 0.000
0.000 4.624 0.000
-1.560 -2.312 5.895
ATOMIC_POSITIONS crystal
Fe 0.231 0.731 0.462
Sb 0.928 0.928 0.855
Sb 0.760 0.260 0.519
Se 0.582 0.582 0.164


Entry 9:
! FeSb2Se (SCAN, PBEsol geometry); values from VASP
! - Magnetization: 0.66 μB per atom
! - Electronic total energy: -110.42 eV for the cell shown
! - Formation energy without anion corrections: 0.58 eV per atom
! - Crystal system: cubic
! - Space-group type: Fm-3m
&SYSTEM
  ibrav = 0, nat = 4, ntyp = 3
/
ATOMIC_SPECIES
Fe 55.84 Fe.upf
Sb 121.76 Sb.upf
Se 78.96 Se.upf
CELL_PARAMETERS angstrom
-0.454 -3.530 -3.299
3.772 -2.883 -1.003
-0.053 -4.644 1.407
ATOMIC_POSITIONS crystal
Fe 0.000 0.000 0.000
Sb 0.750 0.750 0.750
Sb 0.250 0.250 0.250
Se 0.500 0.500 0.500


Entry 10:
! FeSn2SbSe (SCAN, PBEsol geometry); values from VASP
! - Magnetization: 0.18 μB per atom
! - Electronic total energy: -145.77 eV for the cell shown
! - Formation energy without anion corrections: 0.31 eV per atom
! - Crystal system: tetragonal
! - Space-group type: P4/mmm
&SYSTEM
  ibrav = 0, nat = 5, ntyp = 4
/
ATOMIC_SPECIES
Sb 121.76 Sb.upf
Sn 118.71 Sn.upf
Se 78.96 Se.upf
Fe 55.84 Fe.upf
CELL_PARAMETERS angstrom
4.249 0.000 0.000
0.000 5.161 0.000
0.000 0.000 5.161
ATOMIC_POSITIONS crystal
Sb 0.500 0.500 0.500
Sn 0.000 0.000 0.500
Sn 0.000 0.500 0.000
Se 0.500 0.000 0.000
Fe 0.000 0.000 0.000


Entry 11:
! FeSi2Sb (SCAN, PBEsol geometry); values from VASP
! - Magnetization: 0.38 μB per atom
! - Electronic total energy: -73.86 eV for the cell shown
! - Formation energy without anion corrections: 0.39 eV per atom
! - Crystal system: trigonal
! - Space-group type: R-3m
&SYSTEM
  ibrav = 0, nat = 4, ntyp = 3
/
ATOMIC_SPECIES
Fe 55.84 Fe.upf
Sb 121.76 Sb.upf
Si 28.09 Si.upf
CELL_PARAMETERS angstrom
-1.897 1.097 -2.025
-2.798 0.671 0.787
0.831 8.307 1.524
ATOMIC_POSITIONS crystal
Fe 0.500 0.500 0.500
Sb 0.000 0.000 0.000
Si 0.230 0.230 0.311
Si 0.770 0.770 0.689


Entry 12:
! FeSiSb2 (SCAN, PBEsol geometry); values from VASP
! - Magnetization: 0.06 μB per atom
! - Electronic total energy: -102.10 eV for the cell shown
! - Formation energy without anion corrections: 0.14 eV per atom
! - Crystal system: trigonal
! - Space-group type: R3m
&SYSTEM
  ibrav = 0, nat = 4, ntyp = 3
/
ATOMIC_SPECIES
Fe 55.84 Fe.upf
Sb 121.76 Sb.upf
Si 28.09 Si.upf
CELL_PARAMETERS angstrom
3.877 0.000 -0.018
-1.938 3.358 0.018
-1.904 -1.139 6.114
ATOMIC_POSITIONS crystal
Fe 0.583 0.791 0.374
Sb 0.065 0.032 0.097
Sb 0.435 0.218 0.653
Si 0.917 0.458 0.375